1.
## CeGeIrRu (PBE-GGA)

Data for an optimized crystal structure of CeGeIrRu.

Structure (POSCAR):
```
CeGeIrRu
1.0
4.426 0.000 0.000
0.000 1.907 4.525
0.000 -1.907 4.525
Ce Ge Ir Ru
1 1 1 1
Cartesian
0.000 0.000 0.000 Ce
2.213 0.000 5.361 Ge
0.000 0.000 6.574 Ir
2.213 0.000 2.535 Ru
```

As for the energy of formation: -0.329 eV per atom. The total moment is 0.0 Bohr magnetons per cell. The calculation puts the total energy at -0.551 Ry/atom.

2.
## CeGdLu2 (PBE-GGA)

Data for an optimized crystal structure of CeGdLu2.

Structure (POSCAR):
```
CeGdLu2
1.0
3.521 0.000 0.000
0.000 3.521 0.000
0.000 0.000 9.754
Ce Gd Lu
1 1 2
Cartesian
0.000 0.000 0.000 Ce
0.000 0.000 4.877 Gd
1.760 1.760 2.377 Lu
1.760 1.760 7.377 Lu
```

As for the energy of formation: 0.063 eV per atom. The total moment is 6.8 Bohr magnetons per cell. The calculation puts the total energy at -0.529 Ry/atom.

3.
## SrRu2O8 (PBE-GGA)

Data for an optimized crystal structure of SrRu2O8.

Structure (POSCAR):
```
SrRu2O8
1.0
4.757 0.000 0.000
0.000 4.757 0.000
0.000 0.000 6.172
Sr Ru O
1 2 8
Cartesian
0.000 0.000 0.000 Sr
0.000 2.379 3.086 Ru
2.379 0.000 3.086 Ru
1.194 1.194 1.930 O
1.194 1.194 4.242 O
1.194 3.564 1.930 O
1.194 3.564 4.242 O
3.564 1.194 1.930 O
3.564 1.194 4.242 O
3.564 3.564 1.930 O
3.564 3.564 4.242 O
```

The total moment is 0.0 Bohr magnetons per cell. For the uncorrected formation energy, the calculation gives -0.665 eV/atom. The calculation puts the total energy at -0.449 Ry/atom.

4.
## Ce4RhAu2 (PBE-GGA)

Data for an optimized crystal structure of Ce4RhAu2.

Structure (POSCAR):
```
Ce4RhAu2
1.0
7.175 0.000 0.000
0.000 3.868 0.000
-2.392 0.000 7.315
Ce Rh Au
4 1 2
Cartesian
0.027 0.000 2.017 Ce
1.186 1.934 5.243 Ce
3.597 1.934 2.073 Ce
4.757 0.000 5.298 Ce
2.392 0.000 3.658 Rh
-0.954 1.934 7.315 Au
5.738 1.934 0.000 Au
```

As for the energy of formation: -0.395 eV per atom. The total moment is 4.4 Bohr magnetons per cell. The calculation puts the total energy at -0.424 Ry/atom.